Here is a relaxed BaP2SeS8 crystal from Alexandria via LeMat-Bulk. Energies are from PBE.

Cell: 9.684 9.684 9.684 Å, 35.94 35.94 35.94°
Positions (direct):
Ba (0.000, 0.000, 0.000)
P (0.246, 0.246, 0.246)
P (0.754, 0.754, 0.754)
Se (0.500, 0.500, 0.500)
S (0.101, 0.435, 0.792)
S (0.208, 0.899, 0.565)
S (0.320, 0.320, 0.320)
S (0.435, 0.792, 0.101)
S (0.565, 0.208, 0.899)
S (0.680, 0.680, 0.680)
S (0.792, 0.101, 0.435)
S (0.899, 0.565, 0.208)

Symmetry: R-3 (148)
ΔE_f (raw) (eV/atom): -0.362
Crystal system: trigonal
V (Å³ per atom): 23.32